No. 1
# PBE-GGA PrZn2SiN4, relaxed
# Theoretical density   6.0 g cm⁻³
# Spin magnetization   0.0 μB/f.u.
# Formation energy from raw total energies   -567 meV/atom
# Energy   -6.324 eV per atom
data_PrZn2SiN4
_chemical_formula_sum 'Pr2 Zn4 Si2 N8'
_cell_length_a 5.292
_cell_length_b 5.292
_cell_length_c 7.050
_cell_angle_alpha 90.00
_cell_angle_beta 90.00
_cell_angle_gamma 90.00
_space_group_name_H-M_alt 'I -4 2 m'
_space_group_IT_number 121
_space_group_name_Hall 'I -4 2'
loop_
_atom_site_label
_atom_site_type_symbol
_atom_site_fract_x
_atom_site_fract_y
_atom_site_fract_z
Pr1 Pr 0.000 0.000 0.000
Zn1 Zn 0.000 0.500 0.250
Si1 Si 0.000 0.000 0.500
N1 N 0.194 0.194 0.360

No. 2
# PBE-GGA Pr5Sm3N8, relaxed
# Theoretical density   7.6 g cm⁻³
# Spin magnetization   0.0 μB/f.u.
# Formation energy from raw total energies   -1353 meV/atom
# Energy   -7.894 eV per atom
data_Pr5Sm3N8
_chemical_formula_sum 'Pr15 Sm9 N24'
_cell_length_a 7.3061
_cell_length_b 7.3061
_cell_length_c 17.9008
_cell_angle_alpha 90.00
_cell_angle_beta 90.00
_cell_angle_gamma 120.00
_space_group_name_H-M_alt 'R -3 m'
_space_group_IT_number 166
_space_group_name_Hall '-R 3 2"'
loop_
_atom_site_label
_atom_site_type_symbol
_atom_site_fract_x
_atom_site_fract_y
_atom_site_fract_z
Pr1 Pr 0.0000 0.0000 0.0000
Pr2 Pr 0.0000 0.0000 0.5000
Pr3 Pr 0.0000 0.5000 0.0000
Sm1 Sm 0.0000 0.5000 0.5000
N1 N 0.0000 0.0000 0.2480
N2 N 0.0028 0.5014 0.7514

No. 3
# PBE-GGA Pr5SmN4, relaxed
# Theoretical density   7.0 g cm⁻³
# Spin magnetization   0.0 μB/f.u.
# Formation energy from raw total energies   -1048 meV/atom
# Energy   -7.240 eV per atom
data_Pr5SmN4
_chemical_formula_sum 'Pr10 Sm2 N8'
_cell_length_a 16.022
_cell_length_b 3.645
_cell_length_c 7.541
_cell_angle_alpha 90.00
_cell_angle_beta 102.89
_cell_angle_gamma 90.00
_space_group_name_H-M_alt 'C 1 2/m 1'
_space_group_IT_number 12
loop_
_space_group_symop_operation_xyz
'x,y,z'
'-x,-y,-z'
'-x,y,-z'
'x,-y,z'
'x+1/2,y+1/2,z'
'-x+1/2,-y+1/2,-z'
'-x+1/2,y+1/2,-z'
'x+1/2,-y+1/2,z'
loop_
_atom_site_label
_atom_site_type_symbol
_atom_site_fract_x
_atom_site_fract_y
_atom_site_fract_z
Pr1 Pr 0.000 0.000 0.000
Pr2 Pr 0.158 0.500 0.804
Pr3 Pr 0.164 0.500 0.349
Sm1 Sm 0.000 0.000 0.500
N1 N 0.001 0.500 0.744
N2 N 0.164 0.000 0.581

No. 4
# PBE-GGA Pr4SmN4, relaxed
# Energy above the most stable polymorph in this dataset   0.5297 eV per atom
# Theoretical density   6.3 g cm⁻³
# Spin magnetization   2.4 μB/f.u.
# Formation energy from raw total energies   -666 meV/atom
# Energy   -7.015 eV per atom
data_Pr4SmN4
_chemical_formula_sum 'Pr8 Sm2 N8'
_cell_length_a 6.019
_cell_length_b 6.019
_cell_length_c 11.164
_cell_angle_alpha 90.00
_cell_angle_beta 90.00
_cell_angle_gamma 90.00
_space_group_name_H-M_alt 'I -4 2 m'
_space_group_IT_number 121
_space_group_name_Hall 'I -4 2'
loop_
_atom_site_label
_atom_site_type_symbol
_atom_site_fract_x
_atom_site_fract_y
_atom_site_fract_z
Pr1 Pr 0.000 0.000 0.213
Pr2 Pr 0.000 0.500 0.000
Sm1 Sm 0.000 0.000 0.500
N1 N 0.232 0.232 0.619

No. 5
# PBE-GGA Pr2Sm4N, relaxed
# Theoretical density   6.8 g cm⁻³
# Spin magnetization   0.0 μB/f.u.
# Formation energy from raw total energies   -254 meV/atom
# Energy   -5.506 eV per atom
data_Pr2Sm4N
_chemical_formula_sum 'Pr4 Sm8 N2'
_cell_length_a 4.943
_cell_length_b 4.943
_cell_length_c 17.958
_cell_angle_alpha 90.00
_cell_angle_beta 90.00
_cell_angle_gamma 90.00
_space_group_name_H-M_alt 'I 4/m m m'
_space_group_IT_number 139
_space_group_name_Hall '-I 4 2'
loop_
_atom_site_label
_atom_site_type_symbol
_atom_site_fract_x
_atom_site_fract_y
_atom_site_fract_z
Pr1 Pr 0.000 0.000 0.171
Sm1 Sm 0.000 0.000 0.367
Sm2 Sm 0.000 0.500 0.000
N1 N 0.000 0.000 0.500

No. 6
# PBE-GGA Pr2Sm3N4, relaxed
# Theoretical density   7.7 g cm⁻³
# Spin magnetization   0.6 μB/f.u.
# Formation energy from raw total energies   -1257 meV/atom
# Energy   -7.592 eV per atom
data_Pr2Sm3N4
_chemical_formula_sum 'Pr4 Sm6 N8'
_cell_length_a 12.070
_cell_length_b 3.615
_cell_length_c 8.998
_cell_angle_alpha 90.00
_cell_angle_beta 119.38
_cell_angle_gamma 90.00
_space_group_name_H-M_alt 'C 1 2/m 1'
_space_group_IT_number 12
loop_
_space_group_symop_operation_xyz
'x,y,z'
'-x,-y,-z'
'-x,y,-z'
'x,-y,z'
'x+1/2,y+1/2,z'
'-x+1/2,-y+1/2,-z'
'-x+1/2,y+1/2,-z'
'x+1/2,-y+1/2,z'
loop_
_atom_site_label
_atom_site_type_symbol
_atom_site_fract_x
_atom_site_fract_y
_atom_site_fract_z
Pr1 Pr 0.105 0.000 0.385
Sm1 Sm 0.000 0.500 0.000
Sm2 Sm 0.208 0.500 0.816
N1 N 0.106 0.000 0.908
N2 N 0.197 0.500 0.298